[1]
VASP calculation (PBE-GGA) on TlOs4W after structural relaxation.

Unit cell a=5.200 b=5.200 c=5.200 alpha=60.00 beta=60.00 gamma=60.00
Fractional coordinates of all 6 atoms:
Os  0.375  0.375  0.375
Os  0.875  0.375  0.375
Os  0.375  0.375  0.875
Os  0.375  0.875  0.375
Tl  0.750  0.750  0.750
W  0.000  0.000  0.000

Values from the calculation:
Formation energy: 0.878 eV/atom
Density: 19.2 Mg/m³

---

[2]
VASP calculation (PBE-GGA) on Cd4TcTe after structural relaxation.

Unit cell a=5.652 b=5.652 c=5.652 alpha=60.00 beta=60.00 gamma=60.00
Fractional coordinates of all 6 atoms:
Cd  0.376  0.872  0.376
Cd  0.376  0.376  0.376
Cd  0.872  0.376  0.376
Cd  0.376  0.376  0.872
Tc  0.750  0.750  0.750
Te  0.000  0.000  0.000

Values from the calculation:
Electronic total energy: -2.3126 eV per atom
Density: 8.8 Mg/m³

---

no.,calculated volume (Å³/atom)
1,16.573
2,21.283